Record 1
# PBE-GGA Sn2HgPd7, relaxed
# Total magnetic moment (μB/atom): 0.000
# DOS at the Fermi energy (states/eV/f.u.): 5.94
# Polymorph energy (0 for the lowest one) (meV/atom): 318
# Formation enthalpy at 0 K (eV per atom): 0.005
data_Sn2HgPd7
_cell_length_a 7.363
_cell_length_b 13.609
_cell_length_c 4.298
_cell_angle_alpha 90.00
_cell_angle_beta 90.00
_cell_angle_gamma 90.00
_symmetry_space_group_name_H-M 'C m m m'
_symmetry_Int_Tables_number 65
_symmetry_space_group_name_Hall '-C 2 2'
loop_
_atom_site_label
_atom_site_fract_x
_atom_site_fract_y
_atom_site_fract_z
Sn1 0.000 0.197 0.000
Hg1 0.000 0.500 0.500
Pd1 0.000 0.000 0.000
Pd2 0.000 0.302 0.500
Pd3 0.185 0.393 0.000



Record 2
# PBE-GGA Sn2HgPd, relaxed
# Total magnetic moment (μB/atom): 0.000
# DOS at the Fermi energy (states/eV/f.u.): 1.69
# Formation enthalpy at 0 K (eV per atom): -0.027
data_Sn2HgPd
_cell_length_a 4.673
_cell_length_b 4.673
_cell_length_c 18.029
_cell_angle_alpha 90.00
_cell_angle_beta 90.00
_cell_angle_gamma 90.00
_symmetry_space_group_name_H-M 'I -4 2 d'
_symmetry_Int_Tables_number 122
_symmetry_space_group_name_Hall 'I -4 2bw'
loop_
_atom_site_label
_atom_site_fract_x
_atom_site_fract_y
_atom_site_fract_z
Sn1 0.215 0.250 0.125
Hg1 0.000 0.000 0.500
Pd1 0.000 0.000 0.000



Record 3
# PBE-GGA Sn4HgPd, relaxed
# Total magnetic moment (μB/atom): 0.000
# DOS at the Fermi energy (states/eV/f.u.): 2.57
# Formation enthalpy at 0 K (eV per atom): -0.104
data_Sn4HgPd
_cell_length_a 10.951
_cell_length_b 8.359
_cell_length_c 6.986
_cell_angle_alpha 90.00
_cell_angle_beta 93.20
_cell_angle_gamma 90.00
_symmetry_space_group_name_H-M 'C 1 2/c 1'
_symmetry_Int_Tables_number 15
loop_
_symmetry_equiv_pos_as_xyz
'x,y,z'
'-x,-y,-z'
'-x,y,-z+1/2'
'x,-y,z+1/2'
'x+1/2,y+1/2,z'
'-x+1/2,-y+1/2,-z'
'-x+1/2,y+1/2,-z+1/2'
'x+1/2,-y+1/2,z+1/2'
loop_
_atom_site_label
_atom_site_fract_x
_atom_site_fract_y
_atom_site_fract_z
Sn1 0.151 0.068 0.063
Sn2 0.157 0.344 0.619
Hg1 0.000 0.363 0.250
Pd1 0.000 0.131 0.750



Record 4
# PBE-GGA Sn4HgPd15, relaxed
# Total magnetic moment (μB/atom): 0.000
# DOS at the Fermi energy (states/eV/f.u.): 14.69
# Formation enthalpy at 0 K (eV per atom): -0.423
data_Sn4HgPd15
_cell_length_a 4.044
_cell_length_b 4.044
_cell_length_c 20.221
_cell_angle_alpha 90.00
_cell_angle_beta 90.00
_cell_angle_gamma 90.00
_symmetry_space_group_name_H-M 'P 4/m m m'
_symmetry_Int_Tables_number 123
_symmetry_space_group_name_Hall '-P 4 2'
loop_
_atom_site_label
_atom_site_fract_x
_atom_site_fract_y
_atom_site_fract_z
Sn1 0.000 0.000 0.100
Sn2 0.000 0.000 0.302
Hg1 0.000 0.000 0.500
Pd1 0.000 0.500 0.000
Pd2 0.000 0.500 0.199
Pd3 0.000 0.500 0.397
Pd4 0.500 0.500 0.099
Pd5 0.500 0.500 0.298
Pd6 0.500 0.500 0.500